Version A
# TcHAu2 PBE optimized geometry
# V, A^3/atom: 14.41
data_TcHAu2
_chemical_formula_sum 'Tc4 H4 Au8'
_cell_length_a 6.608
_cell_length_b 6.608
_cell_length_c 5.281
_cell_angle_alpha 90.00
_cell_angle_beta 90.00
_cell_angle_gamma 90.00
_symmetry_space_group_name_H-M 'I -4 2 d'
_symmetry_Int_Tables_number 122
_symmetry_space_group_name_Hall 'I -4 2bw'
loop_
_atom_site_label
_atom_site_type_symbol
_atom_site_fract_x
_atom_site_fract_y
_atom_site_fract_z
Tc1 Tc 0.000 0.000 0.000
H1 H 0.000 0.000 0.500
Au1 Au 0.160 0.250 0.625

Version B
# TcHAu2 PBE optimized geometry
# V, A^3/atom: 15.47
data_TcHAu2
_chemical_formula_sum 'Tc4 H4 Au8'
_cell_length_a 6.279
_cell_length_b 6.279
_cell_length_c 6.279
_cell_angle_alpha 90.00
_cell_angle_beta 90.00
_cell_angle_gamma 90.00
_symmetry_space_group_name_H-M 'F m -3 m'
_symmetry_Int_Tables_number 225
_symmetry_space_group_name_Hall '-F 4 2 3'
loop_
_atom_site_label
_atom_site_type_symbol
_atom_site_fract_x
_atom_site_fract_y
_atom_site_fract_z
Tc1 Tc 0.000 0.000 0.000
H1 H 0.000 0.000 0.500
Au1 Au 0.250 0.250 0.250

Winner for stability: version A

Version A
# TcH2Au PBE optimized geometry
# V, A^3/atom: 10.18
data_TcH2Au
_chemical_formula_sum 'Tc4 H8 Au4'
_cell_length_a 5.462
_cell_length_b 5.462
_cell_length_c 5.462
_cell_angle_alpha 90.00
_cell_angle_beta 90.00
_cell_angle_gamma 90.00
_symmetry_space_group_name_H-M 'F m -3 m'
_symmetry_Int_Tables_number 225
_symmetry_space_group_name_Hall '-F 4 2 3'
loop_
_atom_site_label
_atom_site_type_symbol
_atom_site_fract_x
_atom_site_fract_y
_atom_site_fract_z
Tc1 Tc 0.000 0.000 0.000
H1 H 0.250 0.250 0.250
Au1 Au 0.000 0.000 0.500

Version B
# TcH2Au PBE optimized geometry
# V, A^3/atom: 9.77
data_TcH2Au
_chemical_formula_sum 'Tc4 H8 Au4'
_cell_length_a 5.252
_cell_length_b 5.252
_cell_length_c 5.665
_cell_angle_alpha 90.00
_cell_angle_beta 90.00
_cell_angle_gamma 90.00
_symmetry_space_group_name_H-M 'I -4 2 d'
_symmetry_Int_Tables_number 122
_symmetry_space_group_name_Hall 'I -4 2bw'
loop_
_atom_site_label
_atom_site_type_symbol
_atom_site_fract_x
_atom_site_fract_y
_atom_site_fract_z
Tc1 Tc 0.000 0.000 0.000
H1 H 0.178 0.750 0.125
Au1 Au 0.000 0.000 0.500

Version C
# TcH2Au PBE optimized geometry
# V, A^3/atom: 9.90
data_TcH2Au
_chemical_formula_sum 'Tc3 H6 Au3'
_cell_length_a 2.9136
_cell_length_b 2.9136
_cell_length_c 16.1625
_cell_angle_alpha 90.00
_cell_angle_beta 90.00
_cell_angle_gamma 120.00
_symmetry_space_group_name_H-M 'R 3 m'
_symmetry_Int_Tables_number 160
_symmetry_space_group_name_Hall 'R 3 -2"'
loop_
_atom_site_label
_atom_site_type_symbol
_atom_site_fract_x
_atom_site_fract_y
_atom_site_fract_z
Tc1 Tc 0.0000 0.0000 0.0000
H1 H 0.0000 0.0000 0.3802
H2 H 0.0000 0.0000 0.6153
Au1 Au 0.0000 0.0000 0.8249

Winner for stability: version C

Version A
# TeHAu3 PBE optimized geometry
# V, A^3/atom: 30.34
data_TeHAu3
_chemical_formula_sum 'Te1 H1 Au3'
_cell_length_a 5.334
_cell_length_b 5.334
_cell_length_c 5.334
_cell_angle_alpha 90.00
_cell_angle_beta 90.00
_cell_angle_gamma 90.00
_symmetry_space_group_name_H-M 'P m -3 m'
_symmetry_Int_Tables_number 221
_symmetry_space_group_name_Hall '-P 4 2 3'
loop_
_atom_site_label
_atom_site_type_symbol
_atom_site_fract_x
_atom_site_fract_y
_atom_site_fract_z
Te1 Te 0.000 0.000 0.000
H1 H 0.500 0.500 0.500
Au1 Au 0.000 0.000 0.500

Version B
# TeHAu3 PBE optimized geometry
# V, A^3/atom: 17.05
data_TeHAu3
_chemical_formula_sum 'Te1 H1 Au3'
_cell_length_a 4.401
_cell_length_b 4.401
_cell_length_c 4.401
_cell_angle_alpha 90.00
_cell_angle_beta 90.00
_cell_angle_gamma 90.00
_symmetry_space_group_name_H-M 'P m -3 m'
_symmetry_Int_Tables_number 221
_symmetry_space_group_name_Hall '-P 4 2 3'
loop_
_atom_site_label
_atom_site_type_symbol
_atom_site_fract_x
_atom_site_fract_y
_atom_site_fract_z
Te1 Te 0.000 0.000 0.000
H1 H 0.500 0.500 0.500
Au1 Au 0.000 0.500 0.500

Winner for stability: version B

Version A
# TeH2Au2 PBE optimized geometry
# V, A^3/atom: 17.75
data_TeH2Au2
_chemical_formula_sum 'Te1 H2 Au2'
_cell_length_a 4.042
_cell_length_b 4.062
_cell_length_c 6.553
_cell_angle_alpha 72.31
_cell_angle_beta 72.13
_cell_angle_gamma 61.95
_symmetry_space_group_name_H-M 'P -1'
_symmetry_Int_Tables_number 2
loop_
_symmetry_equiv_pos_as_xyz
'x,y,z'
'-x,-y,-z'
loop_
_atom_site_label
_atom_site_type_symbol
_atom_site_fract_x
_atom_site_fract_y
_atom_site_fract_z
Te1 Te 0.000 0.000 0.000
H1 H 0.240 0.764 0.499
Au1 Au 0.448 0.450 0.728

Version B
# TeH2Au2 PBE optimized geometry
# V, A^3/atom: 15.15
data_TeH2Au2
_chemical_formula_sum 'Te2 H4 Au4'
_cell_length_a 3.354
_cell_length_b 3.354
_cell_length_c 13.466
_cell_angle_alpha 90.00
_cell_angle_beta 90.00
_cell_angle_gamma 90.00
_symmetry_space_group_name_H-M 'I 4/m m m'
_symmetry_Int_Tables_number 139
_symmetry_space_group_name_Hall '-I 4 2'
loop_
_atom_site_label
_atom_site_type_symbol
_atom_site_fract_x
_atom_site_fract_y
_atom_site_fract_z
Te1 Te 0.000 0.000 0.000
H1 H 0.000 0.500 0.250
Au1 Au 0.000 0.000 0.332

Winner for stability: version A

Version A
# Th2H2Au PBE optimized geometry
# V, A^3/atom: 18.07
data_Th2H2Au
_chemical_formula_sum 'Th4 H4 Au2'
_cell_length_a 6.203
_cell_length_b 6.208
_cell_length_c 6.210
_cell_angle_alpha 104.74
_cell_angle_beta 118.50
_cell_angle_gamma 105.52
_symmetry_space_group_name_H-M 'P -1'
_symmetry_Int_Tables_number 2
loop_
_symmetry_equiv_pos_as_xyz
'x,y,z'
'-x,-y,-z'
loop_
_atom_site_label
_atom_site_type_symbol
_atom_site_fract_x
_atom_site_fract_y
_atom_site_fract_z
Th1 Th 0.168 0.326 0.155
Th2 Th 0.331 0.988 0.658
H1 H 0.246 0.744 0.241
H2 H 0.255 0.995 0.998
Au1 Au 0.251 0.484 0.732

Version B
# Th2H2Au PBE optimized geometry
# V, A^3/atom: 18.57
data_Th2H2Au
_chemical_formula_sum 'Th8 H8 Au4'
_cell_length_a 6.554
_cell_length_b 10.291
_cell_length_c 6.391
_cell_angle_alpha 90.00
_cell_angle_beta 120.52
_cell_angle_gamma 90.00
_symmetry_space_group_name_H-M 'C 1 2/c 1'
_symmetry_Int_Tables_number 15
loop_
_symmetry_equiv_pos_as_xyz
'x,y,z'
'-x,-y,-z'
'-x,y,-z+1/2'
'x,-y,z+1/2'
'x+1/2,y+1/2,z'
'-x+1/2,-y+1/2,-z'
'-x+1/2,y+1/2,-z+1/2'
'x+1/2,-y+1/2,z+1/2'
loop_
_atom_site_label
_atom_site_type_symbol
_atom_site_fract_x
_atom_site_fract_y
_atom_site_fract_z
Th1 Th 0.000 0.081 0.250
Th2 Th 0.000 0.329 0.750
H1 H 0.108 0.124 0.963
Au1 Au 0.000 0.376 0.250

Winner for stability: version A

Version A
# Ti2HAu PBE optimized geometry
# V, A^3/atom: 13.38
data_Ti2HAu
_chemical_formula_sum 'Ti6 H3 Au3'
_cell_length_a 3.0399
_cell_length_b 3.0399
_cell_length_c 20.0685
_cell_angle_alpha 90.00
_cell_angle_beta 90.00
_cell_angle_gamma 120.00
_symmetry_space_group_name_H-M 'R 3 m'
_symmetry_Int_Tables_number 160
_symmetry_space_group_name_Hall 'R 3 -2"'
loop_
_atom_site_label
_atom_site_type_symbol
_atom_site_fract_x
_atom_site_fract_y
_atom_site_fract_z
Ti1 Ti 0.0000 0.0000 0.0000
Ti2 Ti 0.0000 0.0000 0.2209
H1 H 0.0000 0.0000 0.6098
Au1 Au 0.0000 0.0000 0.7761

Version B
# Ti2HAu PBE optimized geometry
# V, A^3/atom: 14.87
data_Ti2HAu
_chemical_formula_sum 'Ti8 H4 Au4'
_cell_length_a 6.196
_cell_length_b 6.196
_cell_length_c 6.196
_cell_angle_alpha 90.00
_cell_angle_beta 90.00
_cell_angle_gamma 90.00
_symmetry_space_group_name_H-M 'F m -3 m'
_symmetry_Int_Tables_number 225
_symmetry_space_group_name_Hall '-F 4 2 3'
loop_
_atom_site_label
_atom_site_type_symbol
_atom_site_fract_x
_atom_site_fract_y
_atom_site_fract_z
Ti1 Ti 0.250 0.250 0.250
H1 H 0.000 0.000 0.000
Au1 Au 0.000 0.000 0.500

Version C
# Ti2HAu PBE optimized geometry
# V, A^3/atom: 13.32
data_Ti2HAu
_chemical_formula_sum 'Ti6 H3 Au3'
_cell_length_a 2.9810
_cell_length_b 2.9810
_cell_length_c 20.7653
_cell_angle_alpha 90.00
_cell_angle_beta 90.00
_cell_angle_gamma 120.00
_symmetry_space_group_name_H-M 'R -3 m'
_symmetry_Int_Tables_number 166
_symmetry_space_group_name_Hall '-R 3 2"'
loop_
_atom_site_label
_atom_site_type_symbol
_atom_site_fract_x
_atom_site_fract_y
_atom_site_fract_z
Ti1 Ti 0.0000 0.0000 0.2232
H1 H 0.0000 0.0000 0.5000
Au1 Au 0.0000 0.0000 0.0000

Winner for stability: version A